This record from Alexandria describes a relaxed structure of Rb5InMo4O16. The functional is GGA+U.

a = 8.1849 Å, b = 11.3529 Å, c = 11.7459 Å
α = 113.93°, β = 90.00°, γ = 90.00°
Last column: nearest neighbours and their distance in Å.
Element x y z (fractional)
Rb (0.6542, 0.8458, 0.8932)  5 O 2.78-3.09
Rb (0.3458, 0.1542, 0.1068)  5 O 2.78-3.09
Rb (0.6542, 0.6542, 0.1068)  5 O 2.78-3.09
Rb (0.3458, 0.3458, 0.8932)  5 O 2.78-3.09
Rb (0.1327, 0.3560, 0.4063)  5 O 2.84-3.16
Rb (0.8673, 0.6440, 0.5937)  5 O 2.84-3.16
Rb (0.1327, 0.1440, 0.5937)  5 O 2.84-3.16
Rb (0.8673, 0.8560, 0.4063)  5 O 2.84-3.16
Rb (0.3836, 0.7500, 0.5000)  6 O 2.97-3.00
Rb (0.6164, 0.2500, 0.5000)  6 O 2.97-3.00
In (0.0817, 0.7500, 0.0000)  6 O 2.17-2.23
In (0.9183, 0.2500, 0.0000)  6 O 2.17-2.23
Mo (0.3359, 0.5582, 0.7170)  4 O 1.78-1.86
Mo (0.6641, 0.4418, 0.2830)  4 O 1.78-1.86
Mo (0.3359, 0.9418, 0.2830)  4 O 1.78-1.86
Mo (0.6641, 0.0582, 0.7170)  4 O 1.78-1.86
Mo (0.1485, 0.9456, 0.8098)  4 O 1.76-1.84
Mo (0.8515, 0.0544, 0.1902)  4 O 1.76-1.84
Mo (0.1485, 0.5544, 0.1902)  4 O 1.76-1.84
Mo (0.8515, 0.4456, 0.8098)  4 O 1.76-1.84
O (0.1120, 0.1199, 0.8897)  1 Mo 1.84
O (0.8880, 0.8801, 0.1103)  1 Mo 1.84
O (0.1120, 0.3801, 0.1103)  1 Mo 1.84
O (0.8880, 0.6199, 0.8897)  1 Mo 1.84
O (0.2688, 0.6242, 0.8821)  1 Mo 1.86
O (0.7312, 0.3758, 0.1179)  1 Mo 1.86
O (0.2688, 0.8758, 0.1179)  1 Mo 1.86
O (0.7312, 0.1242, 0.8821)  1 Mo 1.86
O (0.0991, 0.8951, 0.6499)  1 Mo 1.77
O (0.9009, 0.1049, 0.3501)  1 Mo 1.77
O (0.0991, 0.6049, 0.3501)  1 Mo 1.77
O (0.9009, 0.3951, 0.6499)  1 Mo 1.77
O (0.5375, 0.6094, 0.6997)  1 Mo 1.79
O (0.4625, 0.3906, 0.3003)  1 Mo 1.79
O (0.5375, 0.8906, 0.3003)  1 Mo 1.79
O (0.4625, 0.1094, 0.6997)  1 Mo 1.79
O (0.0307, 0.8520, 0.8763)  1 Mo 1.83
O (0.9693, 0.1480, 0.1237)  1 Mo 1.83
O (0.0307, 0.6480, 0.1237)  1 Mo 1.83
O (0.9693, 0.3520, 0.8763)  1 Mo 1.83
O (0.3578, 0.9218, 0.8295)  1 Mo 1.76
O (0.6422, 0.0782, 0.1705)  1 Mo 1.76
O (0.3578, 0.5782, 0.1705)  1 Mo 1.76
O (0.6422, 0.4218, 0.8295)  1 Mo 1.76
O (0.6734, 0.8858, 0.6532)  1 Mo 1.79
O (0.3266, 0.1142, 0.3468)  1 Mo 1.79
O (0.6734, 0.6142, 0.3468)  1 Mo 1.79
O (0.3266, 0.3858, 0.6532)  1 Mo 1.79
O (0.2045, 0.6072, 0.6238)  1 Mo 1.78
O (0.7955, 0.3928, 0.3762)  1 Mo 1.78
O (0.2045, 0.8928, 0.3762)  1 Mo 1.78
O (0.7955, 0.1072, 0.6238)  1 Mo 1.78

Computed properties:
The calculation puts the total energy at -324.43 eV per cell.